Entry one
{
  "formula": "Pr2Ho2Er",
  "functional": "GGA-PBE",
  "state": "relaxed",
  "vol_a3_per_atom": 32.84,
  "dos_ef_per_ev_atom": 1.265,
  "lattice_angstrom": [[6.219, 0.000, 0.000], [0.000, 3.593, 0.000], [-0.027, 0.000, 14.696]],
  "species": ["Pr", "Pr", "Pr", "Pr", "Ho", "Ho", "Ho", "Ho", "Er", "Er"],
  "frac_coords": [[0.169, 0.000, 0.393], [0.331, 0.500, 0.607], [0.669, 0.500, 0.393], [0.831, 0.000, 0.607], [0.165, 0.000, 0.807], [0.335, 0.500, 0.193], [0.665, 0.500, 0.807], [0.835, 0.000, 0.193], [0.000, 0.500, 0.000], [0.500, 0.000, 0.000]]
}

---

Entry two
{
  "formula": "Pr2Ho2Er",
  "functional": "GGA-PBE",
  "state": "relaxed",
  "vol_a3_per_atom": 33.41,
  "dos_ef_per_ev_atom": 1.404,
  "lattice_angstrom": [[-1.830, 2.867, 15.918], [1.830, -2.867, 15.918], [1.830, 2.867, -15.918]],
  "species": ["Pr", "Pr", "Pr", "Pr", "Ho", "Ho", "Ho", "Ho", "Er", "Er"],
  "frac_coords": [[0.273, 0.023, 0.250], [0.372, 0.122, 0.250], [0.628, 0.878, 0.750], [0.727, 0.977, 0.750], [0.053, 0.803, 0.250], [0.459, 0.709, 0.750], [0.541, 0.291, 0.250], [0.947, 0.197, 0.750], [0.168, 0.418, 0.750], [0.832, 0.582, 0.250]]
}

---

Stability comparison, relative energies in meV per atom: entry one 0; entry two 108

---

Entry one
{
  "formula": "Pr7HoEr12",
  "functional": "GGA-PBE",
  "state": "relaxed",
  "vol_a3_per_atom": 33.64,
  "dos_ef_per_ev_atom": 1.781,
  "lattice_angstrom": [[5.985, 3.455, 5.422], [-5.985, 3.455, 5.422], [0.000, -6.911, 5.422]],
  "species": ["Pr", "Pr", "Pr", "Pr", "Pr", "Pr", "Pr", "Ho", "Er", "Er", "Er", "Er", "Er", "Er", "Er", "Er", "Er", "Er", "Er", "Er"],
  "frac_coords": [[0.000, 0.000, 0.000], [0.101, 0.418, 0.343], [0.343, 0.101, 0.418], [0.418, 0.343, 0.101], [0.582, 0.657, 0.899], [0.657, 0.899, 0.582], [0.899, 0.582, 0.657], [0.500, 0.500, 0.500], [0.003, 0.884, 0.364], [0.116, 0.636, 0.997], [0.228, 0.356, 0.752], [0.248, 0.772, 0.644], [0.356, 0.752, 0.228], [0.364, 0.003, 0.884], [0.636, 0.997, 0.116], [0.644, 0.248, 0.772], [0.752, 0.228, 0.356], [0.772, 0.644, 0.248], [0.884, 0.364, 0.003], [0.997, 0.116, 0.636]]
}

---

Entry two
{
  "formula": "Pr7HoEr12",
  "functional": "GGA-PBE",
  "state": "relaxed",
  "vol_a3_per_atom": 35.93,
  "dos_ef_per_ev_atom": 1.417,
  "lattice_angstrom": [[-5.643, 5.643, 5.643], [5.643, -5.643, 5.643], [5.643, 5.643, -5.643]],
  "species": ["Pr", "Pr", "Pr", "Pr", "Pr", "Pr", "Pr", "Ho", "Er", "Er", "Er", "Er", "Er", "Er", "Er", "Er", "Er", "Er", "Er", "Er"],
  "frac_coords": [[0.000, 0.000, 0.500], [0.000, 0.500, 0.000], [0.000, 0.500, 0.500], [0.500, 0.000, 0.000], [0.500, 0.000, 0.500], [0.500, 0.500, 0.000], [0.500, 0.500, 0.500], [0.000, 0.000, 0.000], [0.000, 0.245, 0.755], [0.000, 0.755, 0.245], [0.245, 0.000, 0.755], [0.245, 0.245, 0.491], [0.245, 0.491, 0.245], [0.245, 0.755, 0.000], [0.491, 0.245, 0.245], [0.509, 0.755, 0.755], [0.755, 0.000, 0.245], [0.755, 0.245, 0.000], [0.755, 0.509, 0.755], [0.755, 0.755, 0.509]]
}

---

Stability comparison, relative energies in meV per atom: entry one 0; entry two 421

---

Entry one
{
  "formula": "Pr3Ho4Er2",
  "functional": "GGA-PBE",
  "state": "relaxed",
  "vol_a3_per_atom": 32.49,
  "dos_ef_per_ev_atom": 1.488,
  "lattice_angstrom": [[8.155, -5.862, 0.000], [8.155, 5.862, 0.000], [-0.767, 0.000, 6.117]],
  "species": ["Pr", "Pr", "Pr", "Pr", "Pr", "Pr", "Ho", "Ho", "Ho", "Ho", "Ho", "Ho", "Ho", "Ho", "Er", "Er", "Er", "Er"],
  "frac_coords": [[0.141, 0.859, 0.750], [0.193, 0.473, 0.917], [0.473, 0.193, 0.417], [0.527, 0.807, 0.583], [0.807, 0.527, 0.083], [0.859, 0.141, 0.250], [0.105, 0.345, 0.373], [0.321, 0.561, 0.461], [0.345, 0.105, 0.873], [0.439, 0.679, 0.039], [0.561, 0.321, 0.961], [0.655, 0.895, 0.127], [0.679, 0.439, 0.539], [0.895, 0.655, 0.627], [0.012, 0.774, 0.204], [0.226, 0.988, 0.296], [0.774, 0.012, 0.704], [0.988, 0.226, 0.796]]
}

---

Entry two
{
  "formula": "Pr3Ho4Er2",
  "functional": "GGA-PBE",
  "state": "relaxed",
  "vol_a3_per_atom": 32.99,
  "dos_ef_per_ev_atom": 1.618,
  "lattice_angstrom": [[8.596, -2.804, 0.000], [8.596, 2.804, 0.000], [-2.566, 0.000, 6.159]],
  "species": ["Pr", "Pr", "Pr", "Ho", "Ho", "Ho", "Ho", "Er", "Er"],
  "frac_coords": [[0.000, 0.000, 0.000], [0.139, 0.139, 0.700], [0.861, 0.861, 0.300], [0.221, 0.221, 0.299], [0.428, 0.428, 0.613], [0.572, 0.572, 0.387], [0.779, 0.779, 0.701], [0.362, 0.362, 0.026], [0.638, 0.638, 0.974]]
}

---

Stability comparison, relative energies in meV per atom: entry one 13; entry two 0

---

Entry one
{
  "formula": "Pr3HoEr",
  "functional": "GGA-PBE",
  "state": "relaxed",
  "vol_a3_per_atom": 35.20,
  "dos_ef_per_ev_atom": 1.447,
  "lattice_angstrom": [[3.590, 0.000, 0.000], [0.000, 17.681, 0.000], [0.000, 0.000, 11.089]],
  "species": ["Pr", "Pr", "Pr", "Pr", "Pr", "Pr", "Pr", "Pr", "Pr", "Pr", "Pr", "Pr", "Ho", "Ho", "Ho", "Ho", "Er", "Er", "Er", "Er"],
  "frac_coords": [[0.242, 0.250, 0.000], [0.242, 0.250, 0.500], [0.255, 0.576, 0.057], [0.255, 0.576, 0.443], [0.255, 0.924, 0.557], [0.255, 0.924, 0.943], [0.745, 0.076, 0.057], [0.745, 0.076, 0.443], [0.745, 0.424, 0.557], [0.745, 0.424, 0.943], [0.758, 0.750, 0.000], [0.758, 0.750, 0.500], [0.238, 0.102, 0.750], [0.238, 0.398, 0.250], [0.762, 0.602, 0.750], [0.762, 0.898, 0.250], [0.260, 0.726, 0.250], [0.260, 0.774, 0.750], [0.740, 0.226, 0.250], [0.740, 0.274, 0.750]]
}

---

Entry two
{
  "formula": "Pr3HoEr",
  "functional": "GGA-PBE",
  "state": "relaxed",
  "vol_a3_per_atom": 34.74,
  "dos_ef_per_ev_atom": 1.865,
  "lattice_angstrom": [[6.871, 0.000, 0.000], [0.000, 3.397, 0.000], [0.000, 0.000, 14.885]],
  "species": ["Pr", "Pr", "Pr", "Pr", "Pr", "Pr", "Ho", "Ho", "Er", "Er"],
  "frac_coords": [[0.000, 0.000, 0.000], [0.008, 0.000, 0.386], [0.492, 0.000, 0.386], [0.500, 0.000, 0.000], [0.508, 0.000, 0.614], [0.992, 0.000, 0.614], [0.250, 0.500, 0.194], [0.750, 0.500, 0.806], [0.250, 0.000, 0.804], [0.750, 0.000, 0.196]]
}

---

Stability comparison, relative energies in meV per atom: entry one 0; entry two 106

---

Entry one
{
  "formula": "PrHo5Er3",
  "functional": "GGA-PBE",
  "state": "relaxed",
  "vol_a3_per_atom": 32.80,
  "dos_ef_per_ev_atom": 1.440,
  "lattice_angstrom": [[8.626, -3.063, 0.000], [8.626, 3.063, 0.000], [-0.098, 0.000, 11.175]],
  "species": ["Pr", "Pr", "Ho", "Ho", "Ho", "Ho", "Ho", "Ho", "Ho", "Ho", "Ho", "Ho", "Er", "Er", "Er", "Er", "Er", "Er"],
  "frac_coords": [[0.131, 0.869, 0.750], [0.869, 0.131, 0.250], [0.033, 0.615, 0.251], [0.108, 0.563, 0.919], [0.385, 0.967, 0.249], [0.395, 0.605, 0.250], [0.437, 0.892, 0.581], [0.563, 0.108, 0.419], [0.605, 0.395, 0.750], [0.615, 0.033, 0.751], [0.892, 0.437, 0.081], [0.967, 0.385, 0.749], [0.000, 0.000, 0.000], [0.000, 0.000, 0.500], [0.103, 0.566, 0.583], [0.434, 0.897, 0.917], [0.566, 0.103, 0.083], [0.897, 0.434, 0.417]]
}

---

Entry two
{
  "formula": "PrHo5Er3",
  "functional": "GGA-PBE",
  "state": "relaxed",
  "vol_a3_per_atom": 34.20,
  "dos_ef_per_ev_atom": 1.539,
  "lattice_angstrom": [[8.415, -3.966, 0.000], [8.415, 3.966, 0.000], [-7.885, 0.000, 9.223]],
  "species": ["Pr", "Pr", "Ho", "Ho", "Ho", "Ho", "Ho", "Ho", "Ho", "Ho", "Ho", "Ho", "Er", "Er", "Er", "Er", "Er", "Er"],
  "frac_coords": [[0.237, 0.237, 0.133], [0.763, 0.763, 0.867], [0.122, 0.122, 0.566], [0.143, 0.729, 0.220], [0.271, 0.857, 0.780], [0.299, 0.299, 0.927], [0.321, 0.679, 0.000], [0.679, 0.321, 0.000], [0.701, 0.701, 0.073], [0.729, 0.143, 0.220], [0.857, 0.271, 0.780], [0.878, 0.878, 0.434], [0.000, 0.000, 0.000], [0.168, 0.168, 0.339], [0.378, 0.378, 0.682], [0.500, 0.500, 0.500], [0.622, 0.622, 0.318], [0.832, 0.832, 0.661]]
}

---

Stability comparison, relative energies in meV per atom: entry one 0; entry two 96

---

Entry one
{
  "formula": "Pr2Ho8Er",
  "functional": "GGA-PBE",
  "state": "relaxed",
  "vol_a3_per_atom": 32.51,
  "dos_ef_per_ev_atom": 1.298,
  "lattice_angstrom": [[4.513, -8.005, 0.000], [4.513, 8.005, 0.000], [-3.187, 0.000, 4.950]],
  "species": ["Pr", "Pr", "Ho", "Ho", "Ho", "Ho", "Ho", "Ho", "Ho", "Ho", "Er"],
  "frac_coords": [[0.194, 0.806, 0.000], [0.806, 0.194, 0.000], [0.073, 0.073, 0.297], [0.172, 0.402, 0.828], [0.293, 0.707, 0.500], [0.402, 0.172, 0.828], [0.598, 0.828, 0.172], [0.707, 0.293, 0.500], [0.828, 0.598, 0.172], [0.927, 0.927, 0.703], [0.500, 0.500, 0.500]]
}

---

Entry two
{
  "formula": "Pr2Ho8Er",
  "functional": "GGA-PBE",
  "state": "relaxed",
  "vol_a3_per_atom": 32.57,
  "dos_ef_per_ev_atom": 1.513,
  "lattice_angstrom": [[8.247, -3.308, 0.000], [8.247, 3.308, 0.000], [-1.199, 0.000, 6.565]],
  "species": ["Pr", "Pr", "Ho", "Ho", "Ho", "Ho", "Ho", "Ho", "Ho", "Ho", "Er"],
  "frac_coords": [[0.245, 0.245, 0.311], [0.755, 0.755, 0.689], [0.175, 0.654, 0.602], [0.197, 0.197, 0.802], [0.346, 0.825, 0.398], [0.411, 0.411, 0.092], [0.589, 0.589, 0.908], [0.654, 0.175, 0.602], [0.803, 0.803, 0.198], [0.825, 0.346, 0.398], [0.000, 0.000, 0.000]]
}

---

Stability comparison, relative energies in meV per atom: entry one 0; entry two 14